# 1
{
  "formula": "DyTmGa2Pt2",
  "functional": "PBE",
  "state": "relaxed",
  "cell": [[4.462, 0.000, 0.000], [-2.231, 3.864, 0.000], [0.000, 0.000, 6.831]],
  "species": ["Dy", "Tm", "Ga", "Ga", "Pt", "Pt"],
  "frac_coords": [[0.000, 0.000, 0.000], [0.000, 0.000, 0.500], [0.333, 0.667, 0.259], [0.667, 0.333, 0.741], [0.333, 0.667, 0.740], [0.667, 0.333, 0.260]],
  "e_tot_ev_per_atom": -5.62,
  "n_ef_per_ev_cell": 3.35,
  "spacegroup": "P-3m1 (164)"
}

# 2
{
  "formula": "Tb2HoTmTe5",
  "functional": "PBE",
  "state": "relaxed",
  "cell": [[5.490, 0.000, 0.000], [0.000, 5.490, 0.000], [0.000, 0.000, 11.468]],
  "species": ["Tb", "Tb", "Ho", "Tm", "Te", "Te", "Te", "Te", "Te"],
  "frac_coords": [[0.000, 0.000, 0.154], [0.000, 0.000, 0.846], [0.500, 0.500, 0.500], [0.500, 0.500, 0.000], [0.000, 0.000, 0.500], [0.000, 0.500, 0.000], [0.500, 0.000, 0.000], [0.500, 0.500, 0.253], [0.500, 0.500, 0.747]],
  "e_tot_ev_per_atom": -4.46,
  "n_ef_per_ev_cell": 4.44,
  "spacegroup": "P4/mmm (123)"
}

# 3
{
  "formula": "CoRuAu2",
  "functional": "PBE",
  "state": "relaxed",
  "cell": [[0.000, 3.150, 3.150], [3.150, 0.000, 3.150], [3.150, 3.150, 0.000]],
  "species": ["Co", "Ru", "Au", "Au"],
  "frac_coords": [[0.000, 0.000, 0.000], [0.500, 0.500, 0.500], [0.250, 0.250, 0.250], [0.750, 0.750, 0.750]],
  "e_tot_ev_per_atom": -5.24,
  "n_ef_per_ev_cell": 3.61,
  "spacegroup": "Fm-3m (225)"
}

# 4
{
  "formula": "CeNd2MoN4",
  "functional": "PBE",
  "state": "relaxed",
  "cell": [[1.738, -6.035, 0.000], [1.738, 6.035, 0.000], [0.000, 0.000, 12.295]],
  "species": ["Ce", "Ce", "Nd", "Nd", "Nd", "Nd", "Mo", "Mo", "N", "N", "N", "N", "N", "N", "N", "N"],
  "frac_coords": [[0.096, 0.904, 0.750], [0.904, 0.096, 0.250], [0.369, 0.631, 0.540], [0.369, 0.631, 0.960], [0.631, 0.369, 0.040], [0.631, 0.369, 0.460], [0.165, 0.835, 0.250], [0.835, 0.165, 0.750], [0.000, 0.000, 0.000], [0.000, 0.000, 0.500], [0.270, 0.730, 0.133], [0.270, 0.730, 0.367], [0.440, 0.560, 0.750], [0.560, 0.440, 0.250], [0.730, 0.270, 0.633], [0.730, 0.270, 0.867]],
  "e_tot_ev_per_atom": -8.42,
  "n_ef_per_ev_cell": 15.18,
  "spacegroup": "Cmcm (63)"
}

# 5
{
  "formula": "TaOsSe2",
  "functional": "PBE",
  "state": "relaxed",
  "cell": [[3.303, 0.000, 0.000], [0.000, 3.685, 0.000], [0.000, 0.000, 7.081]],
  "species": ["Ta", "Os", "Se", "Se"],
  "frac_coords": [[0.000, 0.000, 0.000], [0.500, 0.500, 0.162], [0.000, 0.000, 0.352], [0.500, 0.500, 0.809]],
  "relative_energy_mev_per_atom": 139,
  "e_tot_ev_per_atom": -7.53,
  "n_ef_per_ev_cell": 1.40,
  "spacegroup": "Pmm2 (25)"
}

# 6
{
  "formula": "FeReRu2",
  "functional": "PBE",
  "state": "relaxed",
  "cell": [[0.000, 3.037, 3.037], [3.037, 0.000, 3.037], [3.037, 3.037, 0.000]],
  "species": ["Fe", "Re", "Ru", "Ru"],
  "frac_coords": [[0.000, 0.000, 0.000], [0.250, 0.250, 0.250], [0.500, 0.500, 0.500], [0.750, 0.750, 0.750]],
  "e_tot_ev_per_atom": -9.48,
  "n_ef_per_ev_cell": 6.09,
  "spacegroup": "F-43m (216)"
}

Please write out number 6 again, unchanged.
{
  "formula": "FeReRu2",
  "functional": "PBE",
  "state": "relaxed",
  "cell": [[0.000, 3.037, 3.037], [3.037, 0.000, 3.037], [3.037, 3.037, 0.000]],
  "species": ["Fe", "Re", "Ru", "Ru"],
  "frac_coords": [[0.000, 0.000, 0.000], [0.250, 0.250, 0.250], [0.500, 0.500, 0.500], [0.750, 0.750, 0.750]],
  "e_tot_ev_per_atom": -9.48,
  "n_ef_per_ev_cell": 6.09,
  "spacegroup": "F-43m (216)"
}